# RbPrAuSe3 (PBE, relaxed)
data_RbPrAuSe3
_symmetry_space_group_name_H-M 'P 1'
_symmetry_Int_Tables_number 1
_cell_length_a 8.061
_cell_length_b 8.061
_cell_length_c 11.020
_cell_angle_alpha 90.00
_cell_angle_beta 90.00
_cell_angle_gamma 149.71
loop_
_symmetry_equiv_pos_as_xyz
'x,y,z'
loop_
_atom_site_label
_atom_site_fract_x
_atom_site_fract_y
_atom_site_fract_z
_atom_site_occupancy
Rb1 0.250 0.750 0.750 1
Rb2 0.750 0.250 0.250 1
Pr1 0.000 0.000 0.000 1
Pr2 0.000 0.000 0.500 1
Au1 0.466 0.534 0.250 1
Au2 0.534 0.466 0.750 1
Se1 0.073 0.927 0.250 1
Se2 0.369 0.631 0.058 1
Se3 0.369 0.631 0.442 1
Se4 0.631 0.369 0.558 1
Se5 0.631 0.369 0.942 1
Se6 0.927 0.073 0.750 1
# - Crystal system: orthorhombic
# - Magnetic moment: 0.12 μB/f.u.
# - DFT total energy: -4.346 eV per atom